P | The following is a PBE calculation of K2RhW after structural relaxation, from Alexandria via LeMat-Bulk.

Symmetry: P4/mmm (123)
DOS at the Fermi energy in states/eV/f.u.: 2.3
Total moment in μB/f.u.: 0.00
V in Å³ per atom: 21.49

The structure in POSCAR format:
```
K2RhW
1.0
3.8281 0.0000 0.0000
0.0000 3.8281 0.0000
0.0000 0.0000 5.8669
K Rh W
2 1 1
Cartesian
1.9141 1.9141 0.0000
0.0000 0.0000 0.0000
1.9141 0.0000 2.9334
0.0000 1.9141 2.9334
```

Q | The following is a PBE calculation of K2RhW after structural relaxation, from Alexandria via LeMat-Bulk.

Symmetry: P2/m (10)
DOS at the Fermi energy in states/eV/f.u.: 4.8
Total moment in μB/f.u.: 0.01
V in Å³ per atom: 21.00

The structure in POSCAR format:
```
K2RhW
1.0
5.9438 0.0000 0.0000
0.0000 2.8356 0.0081
0.0000 0.2753 4.9855
K Rh W
2 1 1
Cartesian
0.0000 0.0393 0.0291
0.0000 1.5161 2.4677
2.9719 0.7777 1.2484
2.9719 2.3331 3.7452
```

Order of stability, best first: Q, P

P | The following is a PBE calculation of K2RhW after structural relaxation, from Alexandria via LeMat-Bulk.

Symmetry: Imm2 (44)
DOS at the Fermi energy in states/eV/f.u.: 3.1
Total moment in μB/f.u.: 1.87
V in Å³ per atom: 32.14

The structure in POSCAR format:
```
K2RhW
1.0
-2.7025 -4.7325 -3.8105
4.3464 -4.1374 -2.8655
-2.5385 2.3568 5.6764
W K Rh
1 2 1
Cartesian
1.4322 -3.7408 -0.7399
0.0242 -0.1307 -0.0983
-2.2609 -3.1282 -0.5274
0.7318 -3.9485 -2.9718
```

Q | The following is a PBE calculation of K2RhW after structural relaxation, from Alexandria via LeMat-Bulk.

Symmetry: Fm-3m (225)
DOS at the Fermi energy in states/eV/f.u.: 4.3
Total moment in μB/f.u.: 4.25
V in Å³ per atom: 27.80

The structure in POSCAR format:
```
K2RhW
1.0
0.0000 3.8167 3.8167
3.8167 0.0000 3.8167
3.8167 3.8167 0.0000
K W Rh
2 1 1
Cartesian
1.9084 1.9084 1.9084
5.7251 5.7251 5.7251
3.8167 3.8167 3.8167
0.0000 0.0000 0.0000
```

Order of stability, best first: P, Q

P | The following is a PBE calculation of KRhW3 after structural relaxation, from Alexandria via LeMat-Bulk.

Symmetry: Pm-3m (221)
DOS at the Fermi energy in states/eV/f.u.: 7.2
Total moment in μB/f.u.: 2.04
V in Å³ per atom: 23.03

The structure in POSCAR format:
```
KRhW3
1.0
-0.7010 4.5997 -1.4206
-4.4167 -1.1856 -1.6595
-1.9152 1.0506 4.3469
K W Rh
1 3 1
Cartesian
-3.5165 2.2324 0.6334
-0.3505 2.2999 -0.7103
-2.2084 -0.5928 -0.8297
-0.9576 0.5253 2.1734
0.0000 0.0000 0.0000
```

Q | The following is a PBE calculation of KRhW3 after structural relaxation, from Alexandria via LeMat-Bulk.

Symmetry: Pm-3m (221)
DOS at the Fermi energy in states/eV/f.u.: 4.9
Total moment in μB/f.u.: 0.00
V in Å³ per atom: 17.48

The structure in POSCAR format:
```
KRhW3
1.0
4.4378 0.0000 0.0000
0.0000 4.4378 0.0000
0.0000 0.0000 4.4378
Rh W K
1 3 1
Cartesian
2.2189 2.2189 2.2189
0.0000 0.0000 2.2189
0.0000 2.2189 0.0000
2.2189 0.0000 0.0000
0.0000 0.0000 0.0000
```

Order of stability, best first: P, Q

P | The following is a PBE calculation of KYRh2 after structural relaxation, from Alexandria via LeMat-Bulk.

Symmetry: I-42d (122)
DOS at the Fermi energy in states/eV/f.u.: 2.1
Total moment in μB/f.u.: 0.00
V in Å³ per atom: 29.47

The structure in POSCAR format:
```
KYRh2
1.0
5.1138 0.0000 0.0000
0.0000 5.1138 0.0000
2.5569 2.5569 9.0159
K Y Rh
2 2 4
Cartesian
2.5569 2.5569 0.0000
2.5569 5.1138 4.5080
0.0000 0.0000 0.0000
5.1138 2.5569 4.5080
6.3923 2.1241 6.7620
4.6810 1.2785 2.2540
3.8354 2.9897 6.7620
5.5466 3.8354 2.2540
```

Q | The following is a PBE calculation of KYRh2 after structural relaxation, from Alexandria via LeMat-Bulk.

Symmetry: P4mm (99)
DOS at the Fermi energy in states/eV/f.u.: 5.2
Total moment in μB/f.u.: 0.00
V in Å³ per atom: 27.27

The structure in POSCAR format:
```
KYRh2
1.0
-2.2207 -2.5846 0.8478
2.4764 -2.3748 -0.7471
2.8305 0.3160 8.3770
Rh Y K
2 1 1
Cartesian
0.2732 0.0305 0.8084
0.7039 -2.4154 1.7554
1.0888 0.1216 3.2225
2.4355 -2.2221 6.8800
```

R | The following is a PBE calculation of KYRh2 after structural relaxation, from Alexandria via LeMat-Bulk.

Symmetry: Imm2 (44)
DOS at the Fermi energy in states/eV/f.u.: 2.8
Total moment in μB/f.u.: 0.00
V in Å³ per atom: 21.69

The structure in POSCAR format:
```
KYRh2
1.0
-3.5419 4.8682 1.1563
-2.7995 0.7003 5.4087
5.1624 -0.5406 -3.2617
Rh Y K
2 1 1
Cartesian
-0.8588 3.6294 0.6752
-6.1100 5.3653 6.3255
-3.3821 2.9699 3.5014
-0.3401 1.4160 2.6487
```

Order of stability, best first: Q, R, P

P | The following is a PBE calculation of KYRh2 after structural relaxation, from Alexandria via LeMat-Bulk.

Symmetry: R-3m (166)
DOS at the Fermi energy in states/eV/f.u.: 2.3
Total moment in μB/f.u.: 0.00
V in Å³ per atom: 22.44

The structure in POSCAR format:
```
KYRh2
1.0
-9.1550 -2.0617 -0.8890
-8.1649 -2.3592 -4.0772
-7.7916 -4.9301 -1.9596
Rh Y K
2 1 1
Cartesian
-24.8319 -9.2469 -6.8487
-12.8354 -4.7796 -3.5400
-6.2779 -2.3378 -1.7314
-18.8336 -7.0133 -5.1943
```

Q | The following is a PBE calculation of KYRh2 after structural relaxation, from Alexandria via LeMat-Bulk.

Symmetry: Fm-3m (225)
DOS at the Fermi energy in states/eV/f.u.: 2.9
Total moment in μB/f.u.: 0.00
V in Å³ per atom: 20.91

The structure in POSCAR format:
```
KYRh2
1.0
0.0000 3.4712 3.4712
3.4712 0.0000 3.4712
3.4712 3.4712 0.0000
Y Rh K
1 2 1
Cartesian
3.4712 3.4712 3.4712
5.2068 5.2068 5.2068
1.7356 1.7356 1.7356
0.0000 0.0000 0.0000
```

Order of stability, best first: P, Q

P | The following is a PBE calculation of KYRh2 after structural relaxation, from Alexandria via LeMat-Bulk.

Symmetry: P4/mmm (123)
DOS at the Fermi energy in states/eV/f.u.: 2.2
Total moment in μB/f.u.: 0.00
V in Å³ per atom: 20.99

The structure in POSCAR format:
```
KYRh2
1.0
4.8801 -0.0136 0.0000
0.0185 4.8801 0.0000
0.0000 0.0000 3.5262
Rh K Y
2 1 1
Cartesian
0.0000 0.0000 0.0000
2.4493 2.4333 0.0000
0.0092 2.4400 1.7631
2.4400 -0.0068 1.7631
```

Q | The following is a PBE calculation of KYRh2 after structural relaxation, from Alexandria via LeMat-Bulk.

Symmetry: C2/m (12)
DOS at the Fermi energy in states/eV/f.u.: 3.3
Total moment in μB/f.u.: 0.00
V in Å³ per atom: 25.99

The structure in POSCAR format:
```
KYRh2
1.0
-2.6832 2.5716 -2.9185
-4.4117 1.6655 -0.3058
1.0985 6.5432 2.9959
Y K Rh
1 1 2
Cartesian
-4.4973 8.0852 -0.1713
-1.4991 2.6951 -0.0571
-2.7978 5.9495 0.2123
0.8981 5.9838 2.6694
```

R | The following is a PBE calculation of KYRh2 after structural relaxation, from Alexandria via LeMat-Bulk.

Symmetry: Pm (6)
DOS at the Fermi energy in states/eV/f.u.: 4.8
Total moment in μB/f.u.: 0.29
V in Å³ per atom: 27.24

The structure in POSCAR format:
```
KYRh2
1.0
-1.1723 3.7680 -1.9894
-2.8422 0.7215 3.0413
2.5996 3.2455 4.6152
Y Rh K
1 2 1
Cartesian
-0.4929 1.5429 3.2128
-0.0911 2.7548 0.3628
-0.2555 0.3355 0.7860
-0.6967 5.0853 5.1337
```

Order of stability, best first: R, Q, P

P | The following is a PBE calculation of KYRh2 after structural relaxation, from Alexandria via LeMat-Bulk.

Symmetry: Cm (8)
DOS at the Fermi energy in states/eV/f.u.: 4.8
Total moment in μB/f.u.: 0.45
V in Å³ per atom: 31.32

The structure in POSCAR format:
```
KYRh2
1.0
4.3774 0.0098 0.0027
2.1821 3.7948 0.0027
2.1900 1.2702 7.5537
Y K Rh
1 1 2
Cartesian
4.3778 2.5392 4.9461
2.1819 1.2655 1.2246
2.1906 1.2706 6.3560
6.5640 3.8072 6.3658
```

Q | The following is a PBE calculation of KYRh2 after structural relaxation, from Alexandria via LeMat-Bulk.

Symmetry: I-4m2 (119)
DOS at the Fermi energy in states/eV/f.u.: 3.6
Total moment in μB/f.u.: 0.00
V in Å³ per atom: 20.78

The structure in POSCAR format:
```
KYRh2
1.0
5.5667 0.0014 0.0000
2.3936 5.0258 0.0000
-3.9801 -2.5136 2.9712
Rh K Y
2 1 1
Cartesian
1.1968 2.5129 1.4856
0.0000 0.0000 0.0000
2.7833 0.0007 1.4856
3.9801 2.5136 0.0000
```

Order of stability, best first: P, Q

P | The following is a PBE calculation of KYRh2 after structural relaxation, from Alexandria via LeMat-Bulk.

Symmetry: F-43m (216)
DOS at the Fermi energy in states/eV/f.u.: 5.9
Total moment in μB/f.u.: 0.67
V in Å³ per atom: 20.41

The structure in POSCAR format:
```
KYRh2
1.0
4.8693 0.0000 0.0000
2.4347 4.2170 0.0000
2.4347 1.4057 3.9758
Rh Y K
2 1 1
Cartesian
0.0000 0.0000 0.0000
2.4347 1.4057 0.9939
7.3040 4.2170 2.9818
4.8693 2.8113 1.9879
```

Q | The following is a PBE calculation of KYRh2 after structural relaxation, from Alexandria via LeMat-Bulk.

Symmetry: P4/mmm (123)
DOS at the Fermi energy in states/eV/f.u.: 2.6
Total moment in μB/f.u.: 0.00
V in Å³ per atom: 23.13

The structure in POSCAR format:
```
KYRh2
1.0
3.4424 0.0000 0.0000
0.0000 3.4424 0.0000
0.0000 0.0000 7.8066
Y Rh K
1 2 1
Cartesian
1.7212 1.7212 1.9517
0.0000 0.0000 3.4506
0.0000 0.0000 0.4527
1.7212 1.7212 5.8550
```

Order of stability, best first: Q, P

P | The following is a PBE calculation of KYRh3 after structural relaxation, from Alexandria via LeMat-Bulk.

Symmetry: Pm-3m (221)
DOS at the Fermi energy in states/eV/f.u.: 3.5
Total moment in μB/f.u.: 0.97
V in Å³ per atom: 26.34

The structure in POSCAR format:
```
KYRh3
1.0
-3.5815 3.3465 -1.3642
-2.6720 -1.1589 4.1719
2.4332 3.6531 2.5732
Y Rh K
1 3 1
Cartesian
0.0000 0.0000 0.0000
-1.7907 1.6732 -0.6821
-1.3360 -0.5794 2.0859
1.2166 1.8266 1.2866
-1.9101 2.9203 2.6904
```

Q | The following is a PBE calculation of KYRh3 after structural relaxation, from Alexandria via LeMat-Bulk.

Symmetry: Pm-3m (221)
DOS at the Fermi energy in states/eV/f.u.: 6.1
Total moment in μB/f.u.: 0.71
V in Å³ per atom: 21.44

The structure in POSCAR format:
```
KYRh3
1.0
-0.3661 -3.5302 3.1571
4.7336 -0.1732 0.3553
-0.1489 3.1735 3.5313
Rh Y K
3 1 1
Cartesian
-0.0745 1.5868 1.7657
2.3668 -0.0866 0.1776
-0.1830 -1.7651 1.5785
2.1093 -0.2649 3.5218
0.0000 0.0000 0.0000
```

Order of stability, best first: P, Q

P | The following is a PBE calculation of KY3Rh after structural relaxation, from Alexandria via LeMat-Bulk.

Symmetry: Pm-3m (221)
DOS at the Fermi energy in states/eV/f.u.: 3.4
Total moment in μB/f.u.: 0.00
V in Å³ per atom: 34.09

The structure in POSCAR format:
```
KY3Rh
1.0
5.5447 0.0000 0.0000
0.0000 5.5447 0.0000
0.0000 0.0000 5.5447
Rh K Y
1 1 3
Cartesian
0.0000 0.0000 0.0000
2.7723 2.7723 2.7723
0.0000 2.7723 0.0000
0.0000 0.0000 2.7723
2.7723 0.0000 0.0000
```

Q | The following is a PBE calculation of KY3Rh after structural relaxation, from Alexandria via LeMat-Bulk.

Symmetry: Pm-3m (221)
DOS at the Fermi energy in states/eV/f.u.: 4.1
Total moment in μB/f.u.: 0.00
V in Å³ per atom: 26.78

The structure in POSCAR format:
```
KY3Rh
1.0
-1.2685 -4.9192 -0.6064
3.8585 -0.5873 -3.3079
3.1110 -1.2775 3.8555
Y Rh K
3 1 1
Cartesian
-0.6343 -2.4596 -0.3032
1.9292 -0.2936 -1.6540
1.5555 -0.6387 1.9278
2.8505 -3.3920 -0.0294
0.0000 0.0000 0.0000
```

Order of stability, best first: P, Q

P | The following is a PBE calculation of K2Zr2Rh after structural relaxation, from Alexandria via LeMat-Bulk.

Symmetry: P4/mbm (127)
DOS at the Fermi energy in states/eV/f.u.: 7.3
Total moment in μB/f.u.: 0.08
V in Å³ per atom: 32.57

The structure in POSCAR format:
```
K2Zr2Rh
1.0
10.5351 0.0000 0.0000
0.0000 10.5351 0.0000
0.0000 0.0000 2.9350
Rh Zr K
2 4 4
Cartesian
0.0000 0.0000 0.0000
5.2676 5.2676 0.0000
0.9547 6.2222 1.4675
4.3129 0.9547 1.4675
9.5804 4.3129 1.4675
6.2222 9.5804 1.4675
8.3740 7.4287 0.0000
7.4287 2.1611 0.0000
3.1064 8.3740 0.0000
2.1611 3.1064 0.0000
```

Q | The following is a PBE calculation of K2Zr2Rh after structural relaxation, from Alexandria via LeMat-Bulk.

Symmetry: I4/mmm (139)
DOS at the Fermi energy in states/eV/f.u.: 13.2
Total moment in μB/f.u.: 0.00
V in Å³ per atom: 33.76

The structure in POSCAR format:
```
K2Zr2Rh
1.0
3.8957 0.0000 0.0000
0.0000 3.8957 0.0000
1.9479 1.9479 11.1221
K Zr Rh
2 2 1
Cartesian
1.9479 1.9479 1.9566
3.8957 3.8957 9.1655
1.9479 3.8957 5.5610
3.8957 1.9479 5.5610
0.0000 0.0000 0.0000
```

Order of stability, best first: Q, P

P | The following is a PBE calculation of KZrRh3 after structural relaxation, from Alexandria via LeMat-Bulk.

Symmetry: Pm-3m (221)
DOS at the Fermi energy in states/eV/f.u.: 5.6
Total moment in μB/f.u.: 0.38
V in Å³ per atom: 24.23

The structure in POSCAR format:
```
KZrRh3
1.0
4.9478 0.0000 0.0000
0.0000 4.9478 0.0000
0.0000 0.0000 4.9478
K Rh Zr
1 3 1
Cartesian
2.4739 2.4739 2.4739
0.0000 0.0000 2.4739
0.0000 2.4739 0.0000
2.4739 0.0000 0.0000
0.0000 0.0000 0.0000
```

Q | The following is a PBE calculation of KZrRh3 after structural relaxation, from Alexandria via LeMat-Bulk.

Symmetry: Pm-3m (221)
DOS at the Fermi energy in states/eV/f.u.: 2.2
Total moment in μB/f.u.: 0.00
V in Å³ per atom: 19.85

The structure in POSCAR format:
```
KZrRh3
1.0
-0.0304 -2.2054 4.0711
2.8384 -3.2254 -1.7260
3.6580 2.4844 1.3731
K Zr Rh
1 1 3
Cartesian
0.0000 0.0000 0.0000
3.2330 -1.4732 1.8591
1.8290 1.2422 0.6866
-0.0152 -1.1027 2.0356
1.4192 -1.6127 -0.8630
```

Order of stability, best first: P, Q